No. 1
A geometry-optimized Pm2PrNdSm6 structure, computed with GGA-PBE.

Summary:
Space group: C2/c, No. 15
E_form: 1.2 eV/f.u.

abc: 9.9283 8.9431 8.9431
angles: 117.97 94.50 94.50
With the nearest neighbours (Å) after each atom.
Element x y z (fractional)
Pm  0.4572  0.8078  0.7073  6 Sm 3.34-3.72, 2 Pr 3.42-3.43, 1 Nd 3.65
Pm  0.0428  0.2927  0.1922  6 Sm 3.34-3.72, 2 Pr 3.42-3.43, 1 Nd 3.65
Pm  0.5428  0.1922  0.2927  6 Sm 3.34-3.72, 2 Pr 3.42-3.43, 1 Nd 3.65
Pm  0.9572  0.7073  0.8078  6 Sm 3.34-3.72, 2 Pr 3.42-3.43, 1 Nd 3.65
Pr  0.2500  0.9801  0.0199  4 Pm 3.42-3.43, 4 Sm 3.67-3.71
Pr  0.7500  0.0199  0.9801  4 Pm 3.42-3.43, 4 Sm 3.67-3.71
Nd  0.2500  0.4057  0.5943  8 Sm 3.48-3.87, 2 Pm 3.65
Nd  0.7500  0.5943  0.4057  8 Sm 3.48-3.87, 2 Pm 3.65
Sm  0.0561  0.1183  0.7442  8 Sm 3.46-3.87, 1 Pm 3.57, 1 Pr 3.71, 1 Nd 3.87
Sm  0.4439  0.2558  0.8817  8 Sm 3.46-3.87, 1 Pm 3.57, 1 Pr 3.71, 1 Nd 3.87
Sm  0.9439  0.8817  0.2558  8 Sm 3.46-3.87, 1 Pm 3.57, 1 Pr 3.71, 1 Nd 3.87
Sm  0.5561  0.7442  0.1183  8 Sm 3.46-3.87, 1 Pm 3.57, 1 Pr 3.71, 1 Nd 3.87
Sm  0.3158  0.9776  0.4281  2 Sm 3.30-3.67, 1 Pm 3.49, 1 Nd 3.54, 1 Pr 3.67
Sm  0.1842  0.5719  0.0224  2 Sm 3.30-3.67, 1 Pm 3.49, 1 Nd 3.54, 1 Pr 3.67
Sm  0.6842  0.0224  0.5719  2 Sm 3.30-3.67, 1 Pm 3.49, 1 Nd 3.54, 1 Pr 3.67
Sm  0.8158  0.4281  0.9776  2 Sm 3.30-3.67, 1 Pm 3.49, 1 Nd 3.54, 1 Pr 3.67
Sm  0.1209  0.7041  0.4948  4 Sm 3.30-3.64, 3 Pm 3.34-3.53, 2 Nd 3.48-3.66
Sm  0.3791  0.5052  0.2959  4 Sm 3.30-3.64, 3 Pm 3.34-3.53, 2 Nd 3.48-3.66
Sm  0.8791  0.2959  0.5052  4 Sm 3.30-3.64, 3 Pm 3.34-3.53, 2 Nd 3.48-3.66
Sm  0.6209  0.4948  0.7041  4 Sm 3.30-3.64, 3 Pm 3.34-3.53, 2 Nd 3.48-3.66



No. 2
A geometry-optimized Zr2SnCl structure, computed with GGA-PBE.

Summary:
Space group: I-42d, No. 122
E above lowest polymorph: 0.4930 eV/atom

abc: 5.2334 5.2334 8.7698
angles: 72.64 72.64 90.00
With the nearest neighbours (Å) after each atom.
Element x y z (fractional)
Sn  0.0000  0.0000  0.0000  4 Zr 2.91
Sn  0.7500  0.2500  0.5000  4 Zr 2.91
Zr  0.5551  0.1250  0.2500  2 Cl 2.56
Zr  0.1949  0.6250  0.2500  2 Cl 2.56
Zr  0.3750  0.4449  0.7500  2 Cl 2.56
Zr  0.8750  0.8051  0.7500  2 Cl 2.56
Cl  0.5000  0.5000  0.0000  4 Zr 2.56
Cl  0.2500  0.7500  0.5000  4 Zr 2.56



No. 3
A geometry-optimized KBe2Ru2 structure, computed with GGA-PBE.

Summary:
Space group: I4/mmm, No. 139
E_form: 3.2 eV/f.u.
E above lowest polymorph: 0.1424 eV/atom

abc: 4.2608 4.2608 5.3218
angles: 66.40 66.40 90.00
With the nearest neighbours (Å) after each atom.
Element x y z (fractional)
Ru  0.3582  0.3582  0.2836  4 Be 2.33, 1 Ru 2.49
Ru  0.6418  0.6418  0.7164  4 Be 2.33, 1 Ru 2.49
K  0.0000  0.0000  0.0000  8 Be 3.06, 10 Ru 3.14-3.26
Be  0.7500  0.2500  0.5000  4 Ru 2.33
Be  0.2500  0.7500  0.5000  4 Ru 2.33



No. 4
A geometry-optimized La3BiN structure, computed with GGA-PBE.

Summary:
E_tot: -120.35 eV/cell
Space group: Fd-3m, No. 227

abc: 9.5920 9.5920 9.5920
angles: 60.00 60.00 60.00
With the nearest neighbours (Å) after each atom.
Element x y z (fractional)
N  0.1250  0.1250  0.1250  6 La 2.57
N  0.1250  0.6250  0.1250  6 La 2.57
N  0.6250  0.1250  0.1250  6 La 2.57
N  0.1250  0.1250  0.6250  6 La 2.57
Bi  0.6250  0.6250  0.6250  6 La 3.44
Bi  0.6250  0.1250  0.6250  6 La 3.44
Bi  0.1250  0.6250  0.6250  6 La 3.44
Bi  0.6250  0.6250  0.1250  6 La 3.44
La  0.8068  0.1932  0.1932  2 N 2.57
La  0.0568  0.4432  0.4432  2 N 2.57
La  0.4432  0.4432  0.0568  2 N 2.57
La  0.4432  0.0568  0.0568  2 N 2.57
La  0.0568  0.4432  0.0568  2 N 2.57
La  0.8068  0.1932  0.8068  2 N 2.57
La  0.4432  0.0568  0.4432  2 N 2.57
La  0.0568  0.0568  0.4432  2 N 2.57
La  0.1932  0.8068  0.1932  2 N 2.57
La  0.1932  0.8068  0.8068  2 N 2.57
La  0.1932  0.1932  0.8068  2 N 2.57
La  0.8068  0.8068  0.1932  2 N 2.57



No. 5
A geometry-optimized NbAu2N structure, computed with GGA-PBE.

Summary:
E_tot: -45.81 eV/cell
Space group: I-42d, No. 122

abc: 8.2094 8.2094 6.1594
angles: 48.21 48.21 90.00
With the nearest neighbours (Å) after each atom.
Element x y z (fractional)
Nb  0.0000  0.0000  0.0000  2 N 2.06
Nb  0.7500  0.2500  0.5000  2 N 2.06
Au  0.5208  0.1250  0.2500  2 N 2.43, 2 Au 2.68
Au  0.2292  0.6250  0.2500  2 N 2.43, 2 Au 2.68
Au  0.3750  0.4792  0.7500  2 N 2.43, 2 Au 2.68
Au  0.8750  0.7708  0.7500  2 N 2.43, 2 Au 2.68
N  0.5000  0.5000  0.0000  2 Nb 2.06
N  0.2500  0.7500  0.5000  2 Nb 2.06



No. 6
A geometry-optimized Al2Ru2Pb structure, computed with GGA-PBE.

Summary:
Space group: I4/mmm, No. 139
E_form: -0.4 eV/f.u.
E above lowest polymorph: 0.0941 eV/atom

abc: 7.0181 7.0181 7.0181
angles: 150.14 150.14 42.73
With the nearest neighbours (Å) after each atom.
Element x y z (fractional)
Al  0.2500  0.7500  0.5000  4 Al 2.56, 4 Ru 2.57
Al  0.7500  0.2500  0.5000  4 Al 2.56, 4 Ru 2.57
Ru  0.6104  0.6104  0.0000  4 Al 2.57
Ru  0.3896  0.3896  0.0000  4 Al 2.57
Pb  0.0000  0.0000  0.0000  8 Ru 2.94



No. 7
A geometry-optimized CaBeBiI2 structure, computed with GGA-PBE.

Summary:
E_tot: -11.63 eV/cell
Space group: P4/mmm, No. 123

abc: 6.7568 4.4402 6.7568
angles: 90.00 90.00 90.00
With the nearest neighbours (Å) after each atom.
Element x y z (fractional)
I  0.0000  0.0000  0.5000  2 Bi 3.38
I  0.5000  0.0000  0.0000  2 Bi 3.38
Be  0.0000  0.5000  0.0000  2 Bi 2.22
Ca  0.5000  0.5000  0.5000  8 I 4.04, 2 Ca 4.44
Bi  0.0000  0.0000  0.0000  2 Be 2.22



No. 8
A geometry-optimized Ca4YSe5 structure, computed with GGA-PBE.

Summary:
Space group: I4/mmm, No. 139
E above lowest polymorph: 0.0000 eV/atom

abc: 4.1741 4.1741 15.1115
angles: 97.94 97.94 90.00
With the nearest neighbours (Å) after each atom.
Element x y z (fractional)
Ca  0.4006  0.4006  0.8011  6 Se 2.95-2.97
Ca  0.8003  0.8003  0.6006  6 Se 2.95-3.01
Ca  0.1997  0.1997  0.3994  6 Se 2.95-3.01
Ca  0.5994  0.5994  0.1989  6 Se 2.95-2.97
Y  0.0000  0.0000  0.0000  6 Se 2.91-2.95
Se  0.0983  0.0983  0.1965  1 Y 2.91, 5 Ca 2.95-3.01
Se  0.5000  0.5000  0.0000  2 Ca 2.95, 4 Y 2.95
Se  0.9017  0.9017  0.8035  1 Y 2.91, 5 Ca 2.95-3.01
Se  0.3004  0.3004  0.6008  6 Ca 2.95-2.98
Se  0.6996  0.6996  0.3992  6 Ca 2.95-2.98